Material: LiPd12Pb6
Method: DFT, PBE-GGA
State: relaxed

a b c (Å): 7.2357 7.2357 7.2357
angles (deg): 85.73 85.73 85.73
Closest atoms and distances in Å follow each position.
Element x y z (fractional)
Li  0.0000  0.0000  0.0000  6 Pd 2.52
Pd  0.0155  0.0885  0.3284  1 Li 2.52, 4 Pd 2.71-2.79
Pd  0.0885  0.3284  0.0155  1 Li 2.52, 4 Pd 2.71-2.79
Pd  0.1372  0.5566  0.6442  5 Pd 2.73-3.06, 4 Pb 2.74-2.87
Pd  0.3284  0.0155  0.0885  1 Li 2.52, 4 Pd 2.71-2.79
Pd  0.3558  0.8628  0.4434  5 Pd 2.73-3.06, 4 Pb 2.74-2.87
Pd  0.4434  0.3558  0.8628  5 Pd 2.73-3.06, 4 Pb 2.74-2.87
Pd  0.5566  0.6442  0.1372  5 Pd 2.73-3.06, 4 Pb 2.74-2.87
Pd  0.6442  0.1372  0.5566  5 Pd 2.73-3.06, 4 Pb 2.74-2.87
Pd  0.6716  0.9845  0.9115  1 Li 2.52, 4 Pd 2.71-2.79
Pd  0.8628  0.4434  0.3558  5 Pd 2.73-3.06, 4 Pb 2.74-2.87
Pd  0.9115  0.6716  0.9845  1 Li 2.52, 4 Pd 2.71-2.79
Pd  0.9845  0.9115  0.6716  1 Li 2.52, 4 Pd 2.71-2.79
Pb  0.1896  0.6102  0.2466  6 Pd 2.74-2.90
Pb  0.2466  0.1896  0.6102  6 Pd 2.74-2.90
Pb  0.3898  0.7534  0.8104  6 Pd 2.74-2.90
Pb  0.6102  0.2466  0.1896  6 Pd 2.74-2.90
Pb  0.7534  0.8104  0.3898  6 Pd 2.74-2.90
Pb  0.8104  0.3898  0.7534  6 Pd 2.74-2.90

Summary:
ΔE_f (eV per atom): -0.1610
Total moment (μB per atom): 0.0000